No. 1
Entry from Alexandria via LeMat-Bulk: crystalline Sr2H4Pt at its relaxed geometry (PBE-GGA).

Output
The calculation puts the final energy at -3.875 eV/atom.

Unit cell a=3.8351 b=3.8351 c=13.9192 alpha=90.00 beta=90.00 gamma=90.00
Space group I4/mmm (No. 139)
Inequivalent atoms, fractional coordinates:
Sr (0.0000, 0.0000, 0.1440)
H (0.0000, 0.0000, 0.3801)
H (0.0000, 0.5000, 0.2500)
Pt (0.0000, 0.0000, 0.5000)

No. 2
Entry from Alexandria via LeMat-Bulk: crystalline AcTl2GeTe4 at its relaxed geometry (PBE-GGA).

Output
The calculation puts the final energy at -3.821 eV/atom. For the density of states at the Fermi level, the calculation gives 0.796 states/eV/atom.

Unit cell a=8.0644 b=4.6419 c=8.1001 alpha=90.00 beta=109.06 gamma=90.00
Space group P2/m (No. 10)
Inequivalent atoms, fractional coordinates:
Ac (0.0000, 0.0000, 0.0000)
Tl (0.0000, 0.5000, 0.5000)
Tl (0.5000, 0.0000, 0.5000)
Ge (0.5000, 0.5000, 0.0000)
Te (0.2638, 0.5000, 0.2295)
Te (0.2816, 0.0000, 0.7821)

No. 3
Entry from Alexandria via LeMat-Bulk: crystalline Tb5Pr3Cd2 at its relaxed geometry (PBE-GGA).

Output
The calculation puts the final energy at -3.809 eV/atom. For the density of states at the Fermi level, the calculation gives 1.342 states/eV/atom.

Unit cell a=13.3669 b=14.8068 c=6.6973 alpha=90.00 beta=90.00 gamma=90.00
Space group Ibam (No. 72)
Inequivalent atoms, fractional coordinates:
Tb (0.0000, 0.0000, 0.2500)
Tb (0.0998, 0.1701, 0.0000)
Tb (0.2403, 0.0000, 0.2500)
Pr (0.0000, 0.5000, 0.2500)
Pr (0.1388, 0.2706, 0.5000)
Cd (0.1371, 0.3618, 0.0000)

No. 4
Entry from Alexandria via LeMat-Bulk: crystalline NpInSnHg at its relaxed geometry (PBE-GGA).

Output
The calculation puts the final energy at -4.865 eV/atom. For the density of states at the Fermi level, the calculation gives 3.004 states/eV/atom.

Unit cell a=7.4207 b=7.4207 c=7.4207 alpha=90.00 beta=90.00 gamma=90.00
Space group F-43m (No. 216)
Inequivalent atoms, fractional coordinates:
Np (0.0000, 0.0000, 0.0000)
In (0.0000, 0.0000, 0.5000)
Sn (0.2500, 0.2500, 0.2500)
Hg (0.2500, 0.2500, 0.7500)

No. 5
Entry from Alexandria via LeMat-Bulk: crystalline Pr2GaCuN at its relaxed geometry (PBE-GGA).

Output
The calculation puts the final energy at -5.670 eV/atom. For the density of states at the Fermi level, the calculation gives 0.845 states/eV/atom.

Unit cell a=6.8824 b=3.8074 c=8.4823 alpha=90.00 beta=108.40 gamma=90.00
Space group P2_1/m (No. 11)
Inequivalent atoms, fractional coordinates:
Pr (0.1959, 0.2500, 0.3823)
Pr (0.2086, 0.2500, 0.9661)
Ga (0.3034, 0.7500, 0.6986)
Cu (0.4597, 0.7500, 0.2475)
N (0.1574, 0.7500, 0.1669)

No. 6
Entry from Alexandria via LeMat-Bulk: crystalline AlCoSi2 at its relaxed geometry (PBE-GGA).

Output
The calculation puts the final energy at -5.562 eV/atom. For the density of states at the Fermi level, the calculation gives 0.539 states/eV/atom.

Unit cell a=3.3789 b=3.8275 c=4.5681 alpha=90.00 beta=111.60 gamma=90.00
Space group Pm (No. 6)
Inequivalent atoms, fractional coordinates:
Al (0.0000, 0.0000, 0.0000)
Co (0.5749, 0.5000, 0.1531)
Si (0.2861, 0.5000, 0.5776)
Si (0.7197, 0.0000, 0.4424)

No. 7
Entry from Alexandria via LeMat-Bulk: crystalline AlRuRh2 at its relaxed geometry (PBE-GGA).

Output
The calculation puts the final energy at -7.240 eV/atom. For the density of states at the Fermi level, the calculation gives 0.730 states/eV/atom.

Unit cell a=2.7800 b=3.7192 c=5.4672 alpha=90.00 beta=90.00 gamma=90.00
Space group Pmm2 (No. 25)
Inequivalent atoms, fractional coordinates:
Al (0.0000, 0.0000, 0.0000)
Ru (0.5000, 0.5000, 0.7255)
Rh (0.0000, 0.0000, 0.5060)
Rh (0.5000, 0.5000, 0.2207)

No. 8
Entry from Alexandria via LeMat-Bulk: crystalline ThSiO4 at its relaxed geometry (PBE-GGA).

Output
The calculation puts the final energy at -8.805 eV/atom. For the density of states at the Fermi level, the calculation gives 0.000 states/eV/atom.

Unit cell a=7.1962 b=7.1962 c=6.3589 alpha=90.00 beta=90.00 gamma=90.00
Space group I4_1/amd (No. 141, origin choice 2)
Inequivalent atoms, fractional coordinates:
Th (0.0000, 0.2500, 0.3750)
Si (0.0000, 0.2500, 0.8750)
O (0.0000, 0.0735, 0.7085)

No. 9
Entry from Alexandria via LeMat-Bulk: crystalline La3H12Pt5 at its relaxed geometry (PBE-GGA).

Output
The calculation puts the final energy at -4.606 eV/atom. For the density of states at the Fermi level, the calculation gives 0.390 states/eV/atom.

Unit cell a=12.2783 b=12.2783 c=12.2783 alpha=90.00 beta=90.00 gamma=90.00
Space group Ia-3d (No. 230)
Inequivalent atoms, fractional coordinates:
La (0.0000, 0.2500, 0.1250)
H (0.0397, 0.1351, 0.9571)
Pt (0.0000, 0.0000, 0.0000)
Pt (0.0000, 0.2500, 0.3750)

No. 10
Entry from Alexandria via LeMat-Bulk: crystalline LaBMo at its relaxed geometry (PBE-GGA).

Output
The calculation puts the final energy at -7.480 eV/atom. For the density of states at the Fermi level, the calculation gives 0.736 states/eV/atom.

Unit cell a=3.1166 b=5.4551 c=6.5307 alpha=93.70 beta=90.24 gamma=105.90
Space group P-1 (No. 2)
Inequivalent atoms, fractional coordinates:
La (0.0000, 0.0000, 0.0000)
La (0.5000, 0.0000, 0.5000)
B (0.2329, 0.4654, 0.4470)
Mo (0.2422, 0.4789, 0.8011)

No. 11
Entry from Alexandria via LeMat-Bulk: crystalline Cs6KAu2 at its relaxed geometry (PBE-GGA).

Output
The calculation puts the final energy at -1.560 eV/atom. For the density of states at the Fermi level, the calculation gives 0.716 states/eV/atom.

Unit cell a=13.4619 b=13.5640 c=14.3695 alpha=90.00 beta=90.00 gamma=90.00
Space group Immm (No. 71)
Inequivalent atoms, fractional coordinates:
Cs (0.0000, 0.2105, 0.2364)
Cs (0.1811, 0.1732, 0.5000)
Cs (0.1818, 0.5000, 0.3337)
K (0.0000, 0.0000, 0.0000)
K (0.0000, 0.5000, 0.0000)
Au (0.0000, 0.0000, 0.3974)
Au (0.0000, 0.3906, 0.5000)

No. 12
Entry from Alexandria via LeMat-Bulk: crystalline SbTe2AsPb at its relaxed geometry (PBE-GGA).

Output
The calculation puts the final energy at -2.705 eV/atom. For the density of states at the Fermi level, the calculation gives 1.077 states/eV/atom.

Unit cell a=5.7359 b=5.7359 c=5.8125 alpha=90.00 beta=90.00 gamma=90.00
Space group P4/mmm (No. 123)
Inequivalent atoms, fractional coordinates:
Sb (0.0000, 0.0000, 0.0000)
Te (0.0000, 0.5000, 0.5000)
As (0.5000, 0.5000, 0.0000)
Pb (0.0000, 0.0000, 0.5000)